[1]
LiCr2Tc: relaxed, PBE.

Values from the calculation:
- Fermi-level density of states (states/eV/atom) = 1.436
- energy relative to the elements (eV/atom) = 0.4395
- M_tot (μB/cell) = 1.077

a = 2.6239 Å, b = 2.6239 Å, c = 27.2262 Å
α = 90.00°, β = 90.00°, γ = 120.00°
Last column: nearest neighbours and their distance in Å.
Space group R-3m (No. 166, hexagonal axes)
Unique sites:
Li1 0.0000 0.0000 0.0000 (multiplicity 3)  6 Li 2.62, 6 Cr 2.82
Cr1 0.0000 0.0000 0.2458 (multiplicity 6)  6 Cr 2.62, 3 Tc 2.63, 3 Li 2.82
Tc1 0.0000 0.0000 0.5000 (multiplicity 3)  6 Tc 2.62, 6 Cr 2.63

[2]
Nb2SiGe2: relaxed, PBE.

Values from the calculation:
- offset from the most stable computed form (meV per atom) = 77
- energy relative to the elements, uncorrected (eV/atom) = -0.13
- Fermi-level density of states (states/eV/atom) = 0.432
- M_tot (μB/cell) = 0.000

a = 3.5094 Å, b = 3.5094 Å, c = 14.0684 Å
α = 90.00°, β = 90.00°, γ = 90.00°
Last column: nearest neighbours and their distance in Å.
Space group I4/mmm (No. 139)
Unique sites:
Nb1 0.0000 0.0000 0.0988 (multiplicity 4)  4 Ge 2.76, 1 Nb 2.78, 4 Si 2.84
Si1 0.0000 0.0000 0.5000 (multiplicity 2)  8 Nb 2.84
Ge1 0.0000 0.5000 0.2500 (multiplicity 4)  4 Ge 2.48, 4 Nb 2.76

[3]
BBr2O2: relaxed, PBE.

Values from the calculation:
- energy relative to the elements, uncorrected (eV/atom) = 1.02
- Fermi-level density of states (states/eV/atom) = 0.662
- M_tot (μB/cell) = 2.000

a = 5.1597 Å, b = 5.1597 Å, c = 7.2462 Å
α = 90.00°, β = 90.00°, γ = 90.00°
Last column: nearest neighbours and their distance in Å.
Space group I4/mmm (No. 139)
Unique sites:
B1 0.0000 0.0000 0.0000 (multiplicity 2)  2 O 3.01, 8 Br 3.15
Br1 0.0000 0.5000 0.2500 (multiplicity 4)  4 O 2.85, 4 B 3.15
O1 0.0000 0.0000 0.4158 (multiplicity 4)  1 O 1.22

[4]
As3C: relaxed, PBE.

Values from the calculation:
- offset from the most stable computed form (meV per atom) = 505
- Fermi-level density of states (states/eV/atom) = 0.238
- energy relative to the elements (eV/atom) = 1.0455
- M_tot (μB/cell) = 0.000

a = 7.4989 Å, b = 7.4989 Å, c = 2.9543 Å
α = 90.00°, β = 90.00°, γ = 120.00°
Last column: nearest neighbours and their distance in Å.
Space group P6_3/mmc (No. 194)
Unique sites:
As1 0.2042 0.4085 0.2500 (multiplicity 6)  2 C 2.23
C1 0.3333 0.6667 0.7500 (multiplicity 2)  6 As 2.23